## Y2MnTc (PBE-GGA)

Data for crystalline Y2MnTc at its relaxed geometry.

Cell: 9.260 9.260 9.260 Å, 21.01 21.01 21.01°
Positions (direct):
Y (0.244, 0.244, 0.244)
Y (0.756, 0.756, 0.756)
Mn (0.000, 0.000, 0.000)
Tc (0.500, 0.500, 0.500)

## Properties
As for the energy above the most stable polymorph in this dataset: 8.93 kcal/mol of atoms. Its symmetry is No. 166. The density of states at the Fermi level is 0.688 states/eV per atom.

---

## Y2MnTc (PBE-GGA)

Data for crystalline Y2MnTc at its relaxed geometry.

Cell: 4.891 4.891 4.891 Å, 60.00 60.00 60.00°
Positions (direct):
Y (0.000, 0.000, 0.000)
Y (0.250, 0.250, 0.250)
Mn (0.750, 0.750, 0.750)
Tc (0.500, 0.500, 0.500)

## Properties
As for the energy above the most stable polymorph in this dataset: 8.16 kcal/mol of atoms. Its symmetry is No. 216. The density of states at the Fermi level is 1.154 states/eV per atom.

---

## YMnTc (PBE-GGA)

Data for crystalline YMnTc at its relaxed geometry.

Cell: 5.350 5.350 5.350 Å, 122.52 118.82 88.87°
Positions (direct):
Y (0.373, 0.123, 0.250)
Y (0.627, 0.877, 0.750)
Mn (0.000, 0.500, 0.500)
Mn (0.500, 0.500, 0.000)
Tc (0.000, 0.000, 0.500)
Tc (0.000, 0.500, 0.000)

## Properties
As for the energy above the most stable polymorph in this dataset: 0.00 kcal/mol of atoms. Its symmetry is No. 74. The density of states at the Fermi level is 1.307 states/eV per atom.

---

## Y4MnTc (PBE-GGA)

Data for crystalline Y4MnTc at its relaxed geometry.

Cell: 6.047 6.047 6.047 Å, 60.00 60.00 60.00°
Positions (direct):
Y (0.376, 0.376, 0.376)
Y (0.376, 0.376, 0.873)
Y (0.376, 0.873, 0.376)
Y (0.873, 0.376, 0.376)
Mn (0.000, 0.000, 0.000)
Tc (0.750, 0.750, 0.750)

## Properties
Its symmetry is No. 216. The energy is -6.57 eV/atom. The density of states at the Fermi level is 1.767 states/eV per atom.

---

## Y2Mn16Tc (PBE-GGA)

Data for crystalline Y2Mn16Tc at its relaxed geometry.

Cell: 6.358 6.358 6.358 Å, 86.17 86.17 86.17°
Positions (direct):
Y (0.000, 0.000, 0.000)
Y (0.289, 0.289, 0.289)
Mn (0.002, 0.002, 0.518)
Mn (0.002, 0.518, 0.002)
Mn (0.144, 0.644, 0.644)
Mn (0.289, 0.289, 0.767)
Mn (0.289, 0.767, 0.289)
Mn (0.365, 0.642, 0.921)
Mn (0.365, 0.921, 0.642)
Mn (0.518, 0.002, 0.002)
Mn (0.541, 0.541, 0.541)
Mn (0.642, 0.365, 0.921)
Mn (0.642, 0.921, 0.365)
Mn (0.644, 0.144, 0.644)
Mn (0.644, 0.644, 0.144)
Mn (0.767, 0.289, 0.289)
Mn (0.921, 0.365, 0.642)
Mn (0.921, 0.642, 0.365)
Tc (0.744, 0.744, 0.744)

## Properties
Its symmetry is No. 160. The energy is -8.95 eV/atom. The density of states at the Fermi level is 1.052 states/eV per atom.

---

## YMnTc (PBE-GGA)

Data for crystalline YMnTc at its relaxed geometry.

Cell: 3.907 3.907 4.520 Å, 90.00 90.00 120.00°
Positions (direct):
Y (0.000, 0.000, 0.000)
Mn (0.667, 0.333, 0.487)
Tc (0.333, 0.667, 0.509)

## Properties
As for the energy above the most stable polymorph in this dataset: 3.64 kcal/mol of atoms. Its symmetry is No. 156. The density of states at the Fermi level is 1.305 states/eV per atom.